[1]
Compound: SmBeP
Source: Alexandria
Functional: GGA-PBE
Structure: optimized geometry

Unit cell a=4.1882 b=3.7353 c=3.7353 alpha=120.00 beta=90.00 gamma=90.00
Last column: nearest neighbours and their distance in Å.
Sites, in units of the cell vectors:
P: 0.1666 0.0000 0.0000  3 Be 2.16
Sm: 0.6666 0.3333 0.6667  6 Be 3.01, 6 P 3.01
Be: 0.1668 0.6667 0.3333  3 P 2.16

Properties
magnetic moment = 0.00 μB per formula unit
energy above the most stable polymorph in this dataset = 0 meV per atom
volume = 16.87 A^3/atom
raw total energy = -5.623 eV per atom
crystal system = hexagonal
formation energy from the elements = -1004.6 meV per atom
space-group type = P-6m2 (187)



[2]
Compound: TbMgNi5
Source: Alexandria
Functional: GGA-PBE
Structure: optimized geometry

Unit cell a=4.8216 b=8.0425 c=10.2156 alpha=90.00 beta=90.00 gamma=90.00
Last column: nearest neighbours and their distance in Å.
Sites, in units of the cell vectors:
Tb: 0.2500 0.2487 0.9406  8 Ni 2.80-3.09
Tb: 0.7500 0.2513 0.4406  8 Ni 2.80-3.09
Tb: 0.2500 0.7487 0.5594  8 Ni 2.80-3.09
Tb: 0.7500 0.7513 0.0594  8 Ni 2.80-3.09
Mg: 0.2500 0.8636 0.8608  10 Ni 2.60-2.85
Mg: 0.7500 0.6364 0.3608  10 Ni 2.60-2.85
Mg: 0.2500 0.3636 0.6392  10 Ni 2.60-2.85
Mg: 0.7500 0.1364 0.1392  10 Ni 2.60-2.85
Ni: 0.2500 0.5838 0.0162  5 Ni 2.42-2.47
Ni: 0.7500 0.9162 0.5162  5 Ni 2.42-2.47
Ni: 0.2500 0.0838 0.4838  5 Ni 2.42-2.47
Ni: 0.7500 0.4162 0.9838  5 Ni 2.42-2.47
Ni: 0.7500 0.3122 0.7587  7 Ni 2.41-2.54
Ni: 0.2500 0.1878 0.2587  7 Ni 2.41-2.54
Ni: 0.7500 0.8122 0.7413  7 Ni 2.41-2.54
Ni: 0.2500 0.6878 0.2413  7 Ni 2.41-2.54
Ni: 0.2500 0.9530 0.1058  4 Ni 2.43-2.54, 1 Mg 2.60
Ni: 0.7500 0.5470 0.6058  4 Ni 2.43-2.54, 1 Mg 2.60
Ni: 0.2500 0.4530 0.3942  4 Ni 2.43-2.54, 1 Mg 2.60
Ni: 0.7500 0.0470 0.8942  4 Ni 2.43-2.54, 1 Mg 2.60
Ni: 0.9982 0.4310 0.1893  7 Ni 2.39-2.47
Ni: 0.0018 0.0690 0.6893  7 Ni 2.39-2.47
Ni: 0.5018 0.9310 0.3107  7 Ni 2.39-2.47
Ni: 0.4982 0.5690 0.8107  7 Ni 2.39-2.47
Ni: 0.0018 0.5690 0.8107  7 Ni 2.39-2.47
Ni: 0.9982 0.9310 0.3107  7 Ni 2.39-2.47
Ni: 0.4982 0.0690 0.6893  7 Ni 2.39-2.47
Ni: 0.5018 0.4310 0.1893  7 Ni 2.39-2.47

Properties
magnetic moment = 0.01 μB per formula unit
volume = 14.15 A^3/atom
raw total energy = -5.322 eV per atom
crystal system = orthorhombic
formation energy from the elements = -303.4 meV per atom
space-group type = Pnma (62)



[3]
Compound: Sc2AlPdC
Source: Alexandria
Functional: GGA-PBE
Structure: optimized geometry

Unit cell a=4.5208 b=4.5208 c=3.9100 alpha=90.00 beta=90.00 gamma=90.00
Last column: nearest neighbours and their distance in Å.
Sites, in units of the cell vectors:
Sc: 0.0000 0.5000 0.0000  2 C 2.26
Sc: 0.5000 0.0000 0.0000  2 C 2.26
C: 0.0000 0.0000 0.0000  2 Al 1.95
Al: 0.0000 0.0000 0.5000  2 C 1.95
Pd: 0.5000 0.5000 0.5000  8 Sc 2.99, 4 Al 3.20

Properties
magnetic moment = 0.00 μB per formula unit
volume = 15.98 A^3/atom
raw total energy = -6.750 eV per atom
crystal system = tetragonal
formation energy from the elements = -585.0 meV per atom
space-group type = P4/mmm (123)



[4]
Compound: PbSeS4
Source: Alexandria
Functional: GGA-PBE
Structure: optimized geometry

Unit cell a=8.2451 b=15.6193 c=12.4336 alpha=20.11 beta=58.70 gamma=47.16
Last column: nearest neighbours and their distance in Å.
Sites, in units of the cell vectors:
Pb: 0.3187 0.9860 0.9157  4 S 2.82-3.02
Pb: 0.6813 0.0140 0.0843  4 S 2.82-3.02
Se: 0.8362 0.2792 0.3521  2 S 2.31-2.32
Se: 0.1638 0.7208 0.6479  2 S 2.31-2.32
S: 0.6643 0.4219 0.7585  1 S 2.10
S: 0.8657 0.5879 0.0936  1 S 2.06
S: 0.7874 0.9476 0.5948  1 S 2.06
S: 0.2126 0.0524 0.4052  1 S 2.06
S: 0.2430 0.5118 0.5034  1 S 2.10
S: 0.1343 0.4121 0.9064  1 S 2.06
S: 0.7570 0.4882 0.4966  1 S 2.10
S: 0.3357 0.5781 0.2415  1 S 2.10

Properties
uncorrected formation energy = -0.049 eV/atom
magnetic moment = 0.00 μB per formula unit
volume = 29.66 A^3/atom
raw total energy = -3.999 eV per atom
crystal system = triclinic
space-group type = P-1 (2)



[5]
Compound: NiSnSeN2
Source: Alexandria
Functional: GGA-PBE
Structure: optimized geometry

Unit cell a=4.0424 b=4.0424 c=5.6722 alpha=90.00 beta=90.00 gamma=90.00
Last column: nearest neighbours and their distance in Å.
Sites, in units of the cell vectors:
Ni: 0.5000 0.5000 0.5000  4 Se 2.86
Sn: 0.0000 0.0000 0.0000  4 N 2.02
Se: 0.0000 0.0000 0.5000  2 Sn 2.84, 4 Ni 2.86
N: 0.0000 0.5000 0.0000  2 Sn 2.02
N: 0.5000 0.0000 0.0000  2 Sn 2.02

Properties
uncorrected formation energy = 1.491 eV/atom
magnetic moment = 3.86 μB per formula unit
energy above the most stable polymorph in this dataset = 431 meV per atom
volume = 18.54 A^3/atom
raw total energy = -4.493 eV per atom
crystal system = tetragonal
space-group type = P4/mmm (123)



[6]
Compound: Dy2HoMg
Source: Alexandria
Functional: GGA-PBE
Structure: optimized geometry

Unit cell a=3.4324 b=3.4324 c=12.3578 alpha=82.02 beta=82.02 gamma=60.00
Last column: nearest neighbours and their distance in Å.
Sites, in units of the cell vectors:
Mg: 0.0000 0.0000 0.0000  2 Dy 3.27, 6 Mg 3.43
Ho: 0.5000 0.5000 0.5000  6 Ho 3.43, 6 Dy 3.45
Dy: 0.0894 0.0894 0.7317  1 Mg 3.27, 6 Dy 3.43, 3 Ho 3.45
Dy: 0.9106 0.9106 0.2683  1 Mg 3.27, 6 Dy 3.43, 3 Ho 3.45

Properties
magnetic moment = 0.00 μB per formula unit
energy above the most stable polymorph in this dataset = 219 meV per atom
volume = 31.11 A^3/atom
raw total energy = -3.654 eV per atom
crystal system = trigonal
formation energy from the elements = 189.8 meV per atom
space-group type = R-3m (166)



[7]
Compound: Cs5Te4I2
Source: Alexandria
Functional: GGA-PBE
Structure: optimized geometry

Unit cell a=10.9461 b=10.4668 c=11.4848 alpha=90.90 beta=61.54 gamma=58.47
Last column: nearest neighbours and their distance in Å.
Sites, in units of the cell vectors:
Cs: 0.1311 0.2106 0.9444  3 Te 3.82-3.93, 2 I 3.83-3.88
Cs: 0.8689 0.7894 0.0556  3 Te 3.82-3.93, 2 I 3.83-3.88
Cs: 0.0000 0.5000 0.5000  4 Te 3.82-3.89
Cs: 0.7140 0.2106 0.9444  3 Te 3.82-3.93, 2 I 3.83-3.88
Cs: 0.2860 0.7894 0.0556  3 Te 3.82-3.93, 2 I 3.83-3.88
Te: 0.3553 0.1577 0.1317  2 Te 2.80-3.11
Te: 0.6447 0.8423 0.8683  2 Te 2.80-3.11
Te: 0.7873 0.5369 0.8885  1 Te 2.80
Te: 0.2127 0.4631 0.1115  1 Te 2.80
I: 0.1912 0.8499 0.7677  4 Cs 3.83-3.88
I: 0.8088 0.1501 0.2323  4 Cs 3.83-3.88

Properties
uncorrected formation energy = -0.906 eV/atom
magnetic moment = 0.96 μB per formula unit
volume = 83.86 A^3/atom
raw total energy = -2.718 eV per atom
crystal system = monoclinic
space-group type = C2/m (12)



[8]
Compound: MnVSi2Sb
Source: Alexandria
Functional: GGA-PBE
Structure: optimized geometry

Unit cell a=4.6576 b=4.5404 c=4.6576 alpha=90.00 beta=90.00 gamma=90.00
Last column: nearest neighbours and their distance in Å.
Sites, in units of the cell vectors:
Sb: 0.5000 0.5000 0.5000  8 Si 3.25, 4 Mn 3.29
Si: 0.0000 0.0000 0.5000  2 V 2.33
Si: 0.5000 0.0000 0.0000  2 V 2.33
Mn: 0.0000 0.5000 0.0000  2 V 2.27
V: 0.0000 0.0000 0.0000  2 Mn 2.27, 4 Si 2.33

Properties
uncorrected formation energy = 0.695 eV/atom
magnetic moment = 2.14 μB per formula unit
volume = 19.70 A^3/atom
raw total energy = -5.956 eV per atom
crystal system = tetragonal
space-group type = P4/mmm (123)